Material: KCrTe2
Method: DFT, PBE
State: relaxed

Lattice parameters (Å, degrees): 5.2176 5.2176 4.1063 90.00 90.00 90.00
Last column: nearest neighbours and their distance in Å.
Space group P4/mmm (No. 123)
Unique sites:
1 K 0.0000 0.0000 0.0000  8 Te 3.32, 4 Cr 3.69
2 Cr 0.5000 0.5000 0.0000  8 Te 3.32, 4 K 3.69
3 Te 0.0000 0.5000 0.5000  4 Cr 3.32, 4 K 3.32, 4 Te 3.69

The value obtained for the energy is -4.23 eV per atom. For the energy relative to the elements, uncorrected, the calculation gives 0.024 eV/atom.


Material: BaSbMo4
Method: DFT, PBE
State: relaxed

Lattice parameters (Å, degrees): 7.8820 7.8820 7.8820 90.00 90.00 90.00
Last column: nearest neighbours and their distance in Å.
Space group F-43m (No. 216)
Unique sites:
1 Ba 0.0000 0.0000 0.0000  12 Mo 3.27, 4 Sb 3.41
2 Sb 0.2500 0.2500 0.2500  12 Mo 3.26, 4 Ba 3.41
3 Mo 0.1231 0.1231 0.6231  6 Mo 2.74-2.83

The value obtained for the energy is -7.45 eV per atom. For the energy relative to the elements, uncorrected, the calculation gives 0.773 eV/atom.


Material: ScSi2C
Method: DFT, PBE
State: relaxed

Lattice parameters (Å, degrees): 6.1442 6.1442 6.2223 90.00 90.00 90.00
Last column: nearest neighbours and their distance in Å.
Space group I-42d (No. 122)
Unique sites:
1 Sc 0.0000 0.0000 0.0000  8 Si 2.74-2.95
2 Si 0.1525 0.7500 0.6250  2 C 1.96
3 C 0.0000 0.0000 0.5000  4 Si 1.96

The value obtained for the energy is -6.49 eV per atom. For the energy relative to the elements, uncorrected, the calculation gives 0.115 eV/atom.


Material: HfGa2Hg2
Method: DFT, PBE
State: relaxed

Lattice parameters (Å, degrees): 7.6560 7.6560 3.4738 90.00 90.00 90.00
Last column: nearest neighbours and their distance in Å.
Space group P4/mbm (No. 127)
Unique sites:
1 Hf 0.0000 0.0000 0.0000  4 Ga 2.99, 8 Hg 3.33
2 Ga 0.1333 0.3667 0.0000  6 Hg 2.76-2.91, 1 Ga 2.89, 2 Hf 2.99
3 Hg 0.1691 0.6691 0.5000  6 Ga 2.76-2.91

The value obtained for the energy is -3.22 eV per atom. As for the offset from the most stable computed form: 0 meV per atom. Its formation energy is 101 meV per atom.


Material: Hg2MoAu
Method: DFT, PBE
State: relaxed

Lattice parameters (Å, degrees): 7.7570 7.7570 5.8336 90.00 90.00 90.00
Last column: nearest neighbours and their distance in Å.
Space group I-42d (No. 122)
Unique sites:
1 Hg 0.2500 0.2500 0.1250  2 Mo 2.84, 2 Au 2.84, 2 Hg 2.92
2 Mo 0.0000 0.0000 0.0000  4 Hg 2.84, 2 Au 2.92
3 Au 0.0000 0.0000 0.5000  4 Hg 2.84, 2 Mo 2.92

The value obtained for the energy is -2.92 eV per atom. As for the offset from the most stable computed form: 404 meV per atom. Its formation energy is 761 meV per atom.


Material: LiHoRuRh
Method: DFT, PBE
State: relaxed

Lattice parameters (Å, degrees): 6.4362 6.4362 6.4362 90.00 90.00 90.00
Last column: nearest neighbours and their distance in Å.
Space group F-43m (No. 216)
Unique sites:
1 Li 0.0000 0.0000 0.0000  4 Ho 2.79, 4 Rh 2.79
2 Ho 0.2500 0.2500 0.7500  4 Li 2.79, 4 Ru 2.79
3 Ru 0.0000 0.0000 0.5000  4 Rh 2.79, 4 Ho 2.79
4 Rh 0.2500 0.2500 0.2500  4 Li 2.79, 4 Ru 2.79

The value obtained for the energy is -5.88 eV per atom. Its formation energy is -99 meV per atom.


Material: LiReSe2
Method: DFT, PBE
State: relaxed

Lattice parameters (Å, degrees): 3.0220 3.0220 25.8266 90.00 90.00 120.00
Last column: nearest neighbours and their distance in Å.
Space group R-3m (No. 166, hexagonal axes)
Unique sites:
1 Li 0.0000 0.0000 0.0000  6 Se 2.58
2 Re 0.0000 0.0000 0.5000  2 Se 2.41
3 Se 0.0000 0.0000 0.4069  1 Re 2.41, 3 Li 2.58

The value obtained for the energy is -5.19 eV per atom. For the energy relative to the elements, uncorrected, the calculation gives 0.145 eV/atom. As for the offset from the most stable computed form: 387 meV per atom.


Material: Li2HfC
Method: DFT, PBE
State: relaxed

Lattice parameters (Å, degrees): 3.2772 3.2772 20.2219 90.00 90.00 90.00
Last column: nearest neighbours and their distance in Å.
Space group I-42d (No. 122)
Unique sites:
1 Li 0.2118 0.7500 0.1250  2 Li 2.15
2 Hf 0.0000 0.0000 0.5000  4 C 2.32
3 C 0.0000 0.0000 0.0000  4 Hf 2.32

The value obtained for the energy is -5.59 eV per atom. Its formation energy is 161 meV per atom.


no.,volume (Å³ per atom)
1,27.95
2,20.40
3,14.68
4,20.36
5,21.94
6,16.66
7,17.02
8,13.57